Entry 1:
# GGA-PBE DyAlGe, optimized geometry
data_DyAlGe
_chemical_formula_sum 'Dy1 Al1 Ge1'
_cell_length_a 4.632
_cell_length_b 4.632
_cell_length_c 4.632
_cell_angle_alpha 60.00
_cell_angle_beta 60.00
_cell_angle_gamma 60.00
_symmetry_space_group_name_H-M 'P 1'
_symmetry_Int_Tables_number 1
loop_
_symmetry_equiv_pos_as_xyz
'x,y,z'
loop_
_atom_site_label
_atom_site_fract_x
_atom_site_fract_y
_atom_site_fract_z
_atom_site_occupancy
Dy1 0.000 0.000 0.000 1
Al1 0.250 0.250 0.250 1
Ge1 0.500 0.500 0.500 1
# symmetry = No. 216
# electronic total energy = -4.38 eV/atom



Entry 2:
# GGA-PBE DyAlGe, optimized geometry
data_DyAlGe
_chemical_formula_sum 'Dy3 Al3 Ge3'
_cell_length_a 7.535
_cell_length_b 7.535
_cell_length_c 4.058
_cell_angle_alpha 90.00
_cell_angle_beta 90.00
_cell_angle_gamma 120.00
_symmetry_space_group_name_H-M 'P 1'
_symmetry_Int_Tables_number 1
loop_
_symmetry_equiv_pos_as_xyz
'x,y,z'
loop_
_atom_site_label
_atom_site_fract_x
_atom_site_fract_y
_atom_site_fract_z
_atom_site_occupancy
Dy1 0.000 0.277 0.000 1
Dy2 0.277 0.000 0.000 1
Dy3 0.723 0.723 0.000 1
Al1 0.000 0.596 0.500 1
Al2 0.404 0.404 0.500 1
Al3 0.596 0.000 0.500 1
Ge1 0.000 0.000 0.500 1
Ge2 0.333 0.667 0.000 1
Ge3 0.667 0.333 0.000 1
# symmetry = No. 189
# electronic total energy = -4.61 eV/atom



Entry 3:
# GGA-PBE DyAlGe, optimized geometry
data_DyAlGe
_chemical_formula_sum 'Dy2 Al2 Ge2'
_cell_length_a 5.602
_cell_length_b 5.602
_cell_length_c 5.776
_cell_angle_alpha 90.00
_cell_angle_beta 90.00
_cell_angle_gamma 137.47
_symmetry_space_group_name_H-M 'P 1'
_symmetry_Int_Tables_number 1
loop_
_symmetry_equiv_pos_as_xyz
'x,y,z'
loop_
_atom_site_label
_atom_site_fract_x
_atom_site_fract_y
_atom_site_fract_z
_atom_site_occupancy
Dy1 0.190 0.810 0.750 1
Dy2 0.810 0.190 0.250 1
Al1 0.500 0.500 0.000 1
Al2 0.500 0.500 0.500 1
Ge1 0.106 0.894 0.250 1
Ge2 0.894 0.106 0.750 1
# symmetry = No. 63
# electronic total energy = -4.98 eV/atom



Entry 4:
# GGA-PBE DyAl2Ge2, optimized geometry
data_DyAl2Ge2
_chemical_formula_sum 'Dy1 Al2 Ge2'
_cell_length_a 4.279
_cell_length_b 4.279
_cell_length_c 6.616
_cell_angle_alpha 90.00
_cell_angle_beta 90.00
_cell_angle_gamma 120.00
_symmetry_space_group_name_H-M 'P 1'
_symmetry_Int_Tables_number 1
loop_
_symmetry_equiv_pos_as_xyz
'x,y,z'
loop_
_atom_site_label
_atom_site_fract_x
_atom_site_fract_y
_atom_site_fract_z
_atom_site_occupancy
Dy1 0.000 0.000 0.000 1
Al1 0.333 0.667 0.646 1
Al2 0.667 0.333 0.354 1
Ge1 0.333 0.667 0.257 1
Ge2 0.667 0.333 0.743 1
# symmetry = No. 164
# electronic total energy = -4.68 eV/atom



Entry 5:
# GGA-PBE DyHo2Al3NiGe2, optimized geometry
data_DyHo2Al3NiGe2
_chemical_formula_sum 'Dy1 Ho2 Al3 Ni1 Ge2'
_cell_length_a 4.169
_cell_length_b 6.926
_cell_length_c 6.926
_cell_angle_alpha 120.01
_cell_angle_beta 90.00
_cell_angle_gamma 90.00
_symmetry_space_group_name_H-M 'P 1'
_symmetry_Int_Tables_number 1
loop_
_symmetry_equiv_pos_as_xyz
'x,y,z'
loop_
_atom_site_label
_atom_site_fract_x
_atom_site_fract_y
_atom_site_fract_z
_atom_site_occupancy
Dy1 0.000 0.000 0.000 1
Ho1 0.000 0.194 0.597 1
Ho2 0.000 0.597 0.194 1
Al1 0.500 0.368 0.368 1
Al2 0.500 0.597 0.826 1
Al3 0.500 0.826 0.597 1
Ni1 0.000 0.596 0.596 1
Ge1 0.500 0.264 0.930 1
Ge2 0.500 0.930 0.264 1
# symmetry = No. 38
# electronic total energy = -5.17 eV/atom



Entry 6:
# GGA-PBE Dy3Al3GeIr2, optimized geometry
data_Dy3Al3GeIr2
_chemical_formula_sum 'Dy3 Al3 Ge1 Ir2'
_cell_length_a 7.257
_cell_length_b 7.257
_cell_length_c 3.940
_cell_angle_alpha 90.00
_cell_angle_beta 90.00
_cell_angle_gamma 120.00
_symmetry_space_group_name_H-M 'P 1'
_symmetry_Int_Tables_number 1
loop_
_symmetry_equiv_pos_as_xyz
'x,y,z'
loop_
_atom_site_label
_atom_site_fract_x
_atom_site_fract_y
_atom_site_fract_z
_atom_site_occupancy
Dy1 0.000 0.595 0.000 1
Dy2 0.405 0.405 0.000 1
Dy3 0.595 0.000 0.000 1
Al1 0.000 0.270 0.500 1
Al2 0.270 0.000 0.500 1
Al3 0.730 0.730 0.500 1
Ge1 0.000 0.000 0.000 1
Ir1 0.333 0.667 0.500 1
Ir2 0.667 0.333 0.500 1
# E above lowest polymorph = 0.00 eV/f.u.
# symmetry = No. 189



Entry 7:
# GGA-PBE Dy3Al3GeIr2, optimized geometry
data_Dy3Al3GeIr2
_chemical_formula_sum 'Dy3 Al3 Ge1 Ir2'
_cell_length_a 8.013
_cell_length_b 8.013
_cell_length_c 3.172
_cell_angle_alpha 90.00
_cell_angle_beta 90.00
_cell_angle_gamma 120.00
_symmetry_space_group_name_H-M 'P 1'
_symmetry_Int_Tables_number 1
loop_
_symmetry_equiv_pos_as_xyz
'x,y,z'
loop_
_atom_site_label
_atom_site_fract_x
_atom_site_fract_y
_atom_site_fract_z
_atom_site_occupancy
Dy1 0.000 0.708 0.000 1
Dy2 0.292 0.292 0.000 1
Dy3 0.708 0.000 0.000 1
Al1 0.000 0.386 0.500 1
Al2 0.386 0.000 0.500 1
Al3 0.614 0.614 0.500 1
Ge1 0.000 0.000 0.500 1
Ir1 0.333 0.667 0.000 1
Ir2 0.667 0.333 0.000 1
# E above lowest polymorph = 3.68 eV/f.u.
# symmetry = No. 189



Entry 8:
# GGA-PBE DyMg2Al3Ge2Pt, optimized geometry
data_DyMg2Al3Ge2Pt
_chemical_formula_sum 'Dy1 Mg2 Al3 Ge2 Pt1'
_cell_length_a 4.152
_cell_length_b 6.805
_cell_length_c 6.805
_cell_angle_alpha 120.19
_cell_angle_beta 90.00
_cell_angle_gamma 90.00
_symmetry_space_group_name_H-M 'P 1'
_symmetry_Int_Tables_number 1
loop_
_symmetry_equiv_pos_as_xyz
'x,y,z'
loop_
_atom_site_label
_atom_site_fract_x
_atom_site_fract_y
_atom_site_fract_z
_atom_site_occupancy
Dy1 0.000 0.000 0.000 1
Mg1 0.000 0.422 0.830 1
Mg2 0.000 0.830 0.422 1
Al1 0.500 0.187 0.425 1
Al2 0.500 0.425 0.187 1
Al3 0.500 0.662 0.662 1
Ge1 0.500 0.100 0.756 1
Ge2 0.500 0.756 0.100 1
Pt1 0.000 0.435 0.435 1
# symmetry = No. 38
# electronic total energy = -4.44 eV/atom